DFT (PBE) results for FeReSiIr after structural relaxation.

a b c (Å): 4.216 4.216 4.216
angles (deg): 60.00 60.00 60.00
Fractional coordinates of all 4 atoms:
Fe1 0.000 0.000 0.000
Re1 0.750 0.750 0.750
Si1 0.500 0.500 0.500
Ir1 0.250 0.250 0.250

Its space group is No. 216. Its energy relative to the elements, uncorrected is -0.67 eV per formula unit. The calculation puts the total energy at -8.966 eV/atom.

DFT (PBE) results for Na3TeCl6 after structural relaxation.

a b c (Å): 8.499 8.165 6.808
angles (deg): 68.48 63.34 48.18
Fractional coordinates of all 10 atoms:
Na1 0.000 0.000 0.000
Na2 0.250 0.250 0.250
Na3 0.750 0.750 0.750
Te1 0.500 0.500 0.500
Cl1 0.123 0.619 0.877
Cl2 0.255 0.745 0.255
Cl3 0.381 0.877 0.619
Cl4 0.619 0.123 0.381
Cl5 0.745 0.255 0.745
Cl6 0.877 0.381 0.123

Its space group is No. 69. Its energy relative to the elements, uncorrected is -10.85 eV per formula unit. The calculation puts the total energy at -2.902 eV/atom.

DFT (PBE) results for Nd2Sm5Tm6 after structural relaxation.

a b c (Å): 11.678 20.382 3.575
angles (deg): 90.00 90.00 90.00
Fractional coordinates of all 26 atoms:
Nd1 0.171 0.217 0.000
Nd2 0.329 0.717 0.000
Nd3 0.671 0.283 0.000
Nd4 0.829 0.783 0.000
Sm1 0.000 0.500 0.500
Sm2 0.088 0.779 0.500
Sm3 0.201 0.052 0.500
Sm4 0.299 0.552 0.500
Sm5 0.412 0.279 0.500
Sm6 0.500 0.000 0.500
Sm7 0.588 0.721 0.500
Sm8 0.701 0.448 0.500
Sm9 0.799 0.948 0.500
Sm10 0.912 0.221 0.500
Tm1 0.061 0.923 0.000
Tm2 0.076 0.635 0.000
Tm3 0.181 0.372 0.500
Tm4 0.319 0.872 0.500
Tm5 0.424 0.135 0.000
Tm6 0.439 0.423 0.000
Tm7 0.561 0.577 0.000
Tm8 0.576 0.865 0.000
Tm9 0.681 0.128 0.500
Tm10 0.819 0.628 0.500
Tm11 0.924 0.365 0.000
Tm12 0.939 0.077 0.000

Its space group is No. 55. Its energy relative to the elements is 0.099 eV per atom. The calculation puts the total energy at -4.514 eV/atom.

DFT (PBE) results for RbTaNbV2 after structural relaxation.

a b c (Å): 4.916 4.916 5.077
angles (deg): 90.00 90.00 90.00
Fractional coordinates of all 5 atoms:
Rb1 0.000 0.000 0.000
Ta1 0.500 0.500 0.500
Nb1 0.500 0.500 0.000
V1 0.000 0.500 0.500
V2 0.500 0.000 0.500

Its space group is No. 123. Its energy relative to the elements is 1.728 eV per atom. The calculation puts the total energy at -6.497 eV/atom.

DFT (PBE) results for CoAu2Br after structural relaxation.

a b c (Å): 6.984 6.984 6.984
angles (deg): 155.95 143.10 44.53
Fractional coordinates of all 4 atoms:
Co1 0.000 0.000 0.000
Au1 0.179 0.679 0.500
Au2 0.549 0.549 0.000
Br1 0.847 0.347 0.500

The calculation puts the energy above the most stable polymorph in this dataset at 0.058 eV/atom. Its space group is No. 44. Its energy relative to the elements, uncorrected is 1.15 eV per formula unit. The calculation puts the total energy at -3.545 eV/atom.

DFT (PBE) results for ReTeAsN2 after structural relaxation.

a b c (Å): 3.905 3.905 5.846
angles (deg): 90.00 90.00 90.00
Fractional coordinates of all 5 atoms:
Re1 0.000 0.000 0.000
Te1 0.000 0.000 0.500
As1 0.500 0.500 0.500
N1 0.000 0.500 0.000
N2 0.500 0.000 0.000

The calculation puts the energy above the most stable polymorph in this dataset at 0.000 eV/atom. Its space group is No. 123. Its energy relative to the elements, uncorrected is 3.41 eV per formula unit. The calculation puts the total energy at -6.697 eV/atom.

DFT (PBE) results for Ti5In2Pd12 after structural relaxation.

a b c (Å): 7.981 7.981 8.655
angles (deg): 107.27 107.27 40.11
Fractional coordinates of all 19 atoms:
Ti1 0.000 0.000 0.000
Ti2 0.318 0.318 0.148
Ti3 0.355 0.355 0.649
Ti4 0.645 0.645 0.351
Ti5 0.682 0.682 0.852
In1 0.250 0.750 0.500
In2 0.750 0.250 0.500
Pd1 0.048 0.558 0.392
Pd2 0.091 0.590 0.901
Pd3 0.100 0.100 0.796
Pd4 0.410 0.909 0.099
Pd5 0.442 0.952 0.608
Pd6 0.489 0.489 0.150
Pd7 0.511 0.511 0.850
Pd8 0.558 0.048 0.392
Pd9 0.590 0.091 0.901
Pd10 0.900 0.900 0.204
Pd11 0.909 0.410 0.099
Pd12 0.952 0.442 0.608

Its space group is No. 12. Its energy relative to the elements is -0.340 eV per atom. The calculation puts the total energy at -5.986 eV/atom.

DFT (PBE) results for KIn2Te after structural relaxation.

a b c (Å): 6.645 6.645 3.346
angles (deg): 90.00 90.00 119.96
Fractional coordinates of all 4 atoms:
K1 0.000 0.000 0.000
In1 0.000 0.500 0.500
In2 0.500 0.000 0.500
Te1 0.500 0.500 0.000

Its space group is No. 65. Its energy relative to the elements, uncorrected is -0.64 eV per formula unit. The calculation puts the total energy at -2.589 eV/atom.

Copy entry 1 word for word.
DFT (PBE) results for FeReSiIr after structural relaxation.

a b c (Å): 4.216 4.216 4.216
angles (deg): 60.00 60.00 60.00
Fractional coordinates of all 4 atoms:
Fe1 0.000 0.000 0.000
Re1 0.750 0.750 0.750
Si1 0.500 0.500 0.500
Ir1 0.250 0.250 0.250

Its space group is No. 216. Its energy relative to the elements, uncorrected is -0.67 eV per formula unit. The calculation puts the total energy at -8.966 eV/atom.

Look up the total energy of the eighth one.
-2.589 eV/atom